DFT (PBE-GGA) results for crystalline LaFeRu2 at its relaxed geometry.

```
LaFeRu2
1.0
-1.7987 1.7832 -1.7204
-2.4727 -1.4272 1.1062
-0.3778 4.8863 5.4596
Fe La Ru
1 1 2
Cartesian
-2.2301 1.3996 1.0578
-2.4190 3.8427 3.7876
-0.0236 0.3057 0.3416
-0.1653 2.1374 2.3882
```

Results
For the formation energy, the calculation gives 242.5 meV/atom. As for the spin magnetization: 2.352 μB per cell. Its space-group type is P4/mmm, No. 123.

=====

DFT (PBE-GGA) results for crystalline LiInAg2 at its relaxed geometry.

```
LiInAg2
1.0
-1.1422 -4.4059 2.4554
4.2166 -2.0960 2.1384
-2.1547 4.6984 0.1651
Ag In Li
2 1 1
Cartesian
0.0068 -0.0144 0.0102
-0.8765 -1.4864 2.4639
1.5342 -3.2446 2.2925
1.7922 -0.3089 2.2893
```

Results
For the formation energy, the calculation gives -188.5 meV/atom. As for the spin magnetization: 0.000 μB per cell. Its space-group type is Imm2, No. 44.

=====

DFT (PBE-GGA) results for crystalline KY3Ni at its relaxed geometry.

```
KY3Ni
1.0
-0.1904 3.7505 -3.9858
-4.0937 2.5493 2.5944
3.6323 3.0698 2.7150
K Ni Y
1 1 3
Cartesian
-0.3259 4.6848 0.6618
0.0000 0.0000 0.0000
-0.0952 1.8752 -1.9929
-2.0469 1.2747 1.2972
1.8162 1.5349 1.3575
```

Results
For the formation energy, the calculation gives 123.3 meV/atom. As for the spin magnetization: 0.000 μB per cell. Its space-group type is Pm-3m, No. 221.

=====

DFT (PBE-GGA) results for crystalline Mg2Ti9O13 at its relaxed geometry.

```
Mg2Ti9O13
1.0
0.5520 -4.2600 2.8693
1.9520 -2.1004 4.2969
-13.0528 1.8004 10.0770
O Ti Mg
13 9 2
Cartesian
0.0000 0.0000 0.0000
-2.6877 -0.3648 3.1876
-3.3150 -3.2727 8.2017
-9.6496 -2.2018 12.7940
-7.8610 -4.1953 14.0556
0.6199 -4.3652 5.9956
-7.3996 -2.8096 11.5070
-3.1490 -1.7505 5.7362
-3.7536 -4.6640 10.7366
-7.2337 -1.2874 9.0415
-11.1686 -0.1948 11.2476
-0.8991 -2.3583 4.4492
-6.7951 0.1039 6.5066
-6.1420 -5.1671 13.8400
-9.1622 -4.3608 15.5821
0.3831 -2.1126 2.8202
-4.9325 -0.6625 5.8394
-10.9318 -2.4474 14.4230
-4.4067 0.6070 3.4032
-5.6162 -3.8975 11.4038
-5.2743 -2.2800 8.6216
-1.3865 -0.1992 1.6611
-9.5529 -0.0238 9.4043
-0.9958 -4.5363 7.8389
```

Results
For the uncorrected formation energy, the calculation gives -2611 meV/atom. As for the spin magnetization: 0.000 μB per cell. Its space-group type is C2/m, No. 12.

=====

DFT (PBE-GGA) results for crystalline HfZrReAg at its relaxed geometry.

```
HfZrReAg
1.0
4.7416 0.0000 0.0000
2.3708 4.1064 0.0000
2.3708 1.3688 3.8715
Re Ag Hf Zr
1 1 1 1
Cartesian
7.1125 4.1064 2.9037
2.3708 1.3688 0.9679
4.7416 2.7376 1.9358
0.0000 0.0000 0.0000
```

Results
For the formation energy, the calculation gives -147.5 meV/atom. As for the spin magnetization: 0.000 μB per cell. Its space-group type is F-43m, No. 216.

=====

DFT (PBE-GGA) results for crystalline Hf6CoPt at its relaxed geometry.

```
Hf6CoPt
1.0
-5.0058 2.6719 -1.9827
-4.9876 -3.4022 -0.2704
-3.7034 -0.3186 4.7817
Co Hf Pt
1 6 1
Cartesian
-4.9967 -0.3651 -1.1266
-8.2539 0.2074 1.2752
-2.6226 -0.1847 -0.5932
-5.5172 1.6310 0.4234
-7.3709 -0.5456 -1.6599
-8.1796 -2.6798 2.1052
-5.4430 -1.2562 1.2534
0.0000 0.0000 0.0000
```

Results
For the formation energy, the calculation gives 21.5 meV/atom. As for the spin magnetization: 0.001 μB per cell. Its space-group type is C2/m, No. 12.

=====

DFT (PBE-GGA) results for crystalline Sc2MoBr at its relaxed geometry.

```
Sc2MoBr
1.0
3.2464 -0.0094 0.0000
-1.1102 3.0507 0.0000
0.0000 0.0000 8.4142
Br Sc Mo
1 2 1
Cartesian
1.0681 1.5207 2.1036
0.0000 0.0000 4.3870
0.0000 0.0000 8.2343
1.0681 1.5207 6.3107
```

Results
For the uncorrected formation energy, the calculation gives -295 meV/atom. As for the spin magnetization: 0.000 μB per cell. Its space-group type is Cmmm, No. 65.

=====

DFT (PBE-GGA) results for crystalline La2YSe at its relaxed geometry.

```
La2YSe
1.0
3.7179 0.0000 0.0000
0.0000 3.7179 0.0000
0.0000 0.0000 8.6143
La Se Y
2 1 1
Cartesian
1.8589 1.8589 2.4928
0.0000 0.0000 8.4454
0.0000 0.0000 4.5665
1.8589 1.8589 6.0309
```

Results
For the uncorrected formation energy, the calculation gives -741 meV/atom. As for the spin magnetization: 0.001 μB per cell. Its space-group type is P4mm, No. 99.

=====

DFT (PBE-GGA) results for crystalline LiGa2Ge at its relaxed geometry.

```
LiGa2Ge
1.0
4.3552 0.0000 0.0000
2.1776 3.7717 0.0000
2.1776 1.2572 4.7621
Ga Ge Li
2 1 1
Cartesian
2.1776 1.2572 3.7169
2.1776 1.2572 1.0015
6.5328 3.7717 4.5931
4.3552 2.5145 2.5937
```

Results
For the formation energy, the calculation gives -72.4 meV/atom. As for the spin magnetization: 0.000 μB per cell. Its space-group type is R3m, No. 160.

=====

DFT (PBE-GGA) results for crystalline Zn3P at its relaxed geometry.

```
Zn3P
1.0
5.0482 0.0000 0.0000
0.0000 5.0482 0.0000
0.0000 0.0000 5.0482
Zn P
3 1
Cartesian
0.0000 0.0000 2.5241
2.5241 0.0000 0.0000
0.0000 2.5241 0.0000
0.0000 0.0000 0.0000
```

Results
For the formation energy, the calculation gives 595.0 meV/atom. As for the spin magnetization: 0.000 μB per cell. Its space-group type is Pm-3m, No. 221.

=====

DFT (PBE-GGA) results for crystalline Pm2Ho3Au4 at its relaxed geometry.

```
Pm2Ho3Au4
1.0
-2.1673 3.3306 -5.8015
-6.6565 -3.4912 0.4825
-2.0322 4.9623 7.8696
Au Ho Pm
8 6 4
Cartesian
-3.3610 5.9529 0.4115
-5.1859 2.7621 3.5230
-7.1511 2.2930 6.1187
-8.2347 3.9583 3.2179
-3.7050 2.5087 -3.5681
-7.4950 -1.1511 2.1391
-5.6702 2.0396 -0.9725
-2.6213 0.8434 -0.6674
-3.6742 3.0828 1.0116
0.0000 0.0000 0.0000
-4.7578 4.7481 -1.8892
-4.4119 -0.0803 -2.6595
-6.0982 0.0537 4.4398
-7.1819 1.7190 1.5390
-6.3882 5.5553 1.3141
-7.7997 -0.2674 -1.5013
-3.0563 5.0691 4.0519
-4.4678 -0.7535 1.2365
```

Results
For the formation energy, the calculation gives -679.2 meV/atom. As for the spin magnetization: 0.000 μB per cell. Its space-group type is Cmce, No. 64.

=====

DFT (PBE-GGA) results for crystalline HfZrVHg at its relaxed geometry.

```
HfZrVHg
1.0
-3.1754 3.4601 -1.1625
-1.5442 0.4316 -4.5646
-4.5533 -1.1775 -1.1349
Hg V Zr Hf
1 1 1 1
Cartesian
-6.9546 2.0356 -5.1465
-2.3182 0.6785 -1.7155
0.0000 0.0000 0.0000
-4.6364 1.3571 -3.4310
```

Results
For the formation energy, the calculation gives 112.3 meV/atom. As for the spin magnetization: 1.697 μB per cell. Its space-group type is F-43m, No. 216.

=====

> spin magnetization of number 6 (Hf6CoPt)?

0.001 μB per cell